Record 1
Compound: BiP2Ru
Source: Alexandria via LeMat-Bulk
Functional: PBE
Structure: optimized geometry

Structure (POSCAR):
```
BiP2Ru
1.0
-2.9405 2.9405 5.4994
2.9405 -2.9405 5.4994
2.9405 2.9405 -5.4994
Bi P Ru
2 4 2
direct
0.0000 0.0000 0.0000
0.7500 0.2500 0.5000
0.2026 0.6250 0.0776
0.3750 0.4526 0.5776
0.5474 0.1250 0.9224
0.8750 0.7974 0.4224
0.2500 0.7500 0.5000
0.5000 0.5000 0.0000
```

Its space group is I-42d, No. 122. The value obtained for the total moment is 0.0 μB/f.u. The value obtained for the density of states at the Fermi level is 6.78 states/eV/cell. As for the uncorrected energy: -5.9515 eV per atom. For the energy of formation, the calculation gives 4 kJ per mole of atoms.

***

Record 2
Compound: BiPRu3
Source: Alexandria via LeMat-Bulk
Functional: PBE
Structure: optimized geometry

Structure (POSCAR):
```
BiPRu3
1.0
4.9844 0.0000 0.0000
0.0000 4.9844 0.0000
0.0000 0.0000 4.9844
Bi P Ru
1 1 3
direct
0.0000 0.0000 0.0000
0.5000 0.5000 0.5000
0.0000 0.0000 0.5000
0.0000 0.5000 0.0000
0.5000 0.0000 0.0000
```

Its space group is Pm-3m, No. 221. The value obtained for the total moment is 4.4 μB/f.u. The distance to the lowest polymorph of the same formula comes out at 9.93 eV/f.u. The value obtained for the density of states at the Fermi level is 6.53 states/eV/cell. As for the uncorrected energy: -5.1317 eV per atom. For the energy of formation, the calculation gives 221 kJ per mole of atoms.

***

Record 3
Compound: BiPRu3
Source: Alexandria via LeMat-Bulk
Functional: PBE
Structure: optimized geometry

Structure (POSCAR):
```
BiPRu3
1.0
4.4580 0.0000 0.0000
0.0000 4.4580 0.0000
0.0000 0.0000 4.4580
Bi P Ru
1 1 3
direct
0.0000 0.0000 0.0000
0.5000 0.5000 0.5000
0.0000 0.5000 0.5000
0.5000 0.0000 0.5000
0.5000 0.5000 0.0000
```

Its space group is Pm-3m, No. 221. The value obtained for the total moment is 0.0 μB/f.u. The distance to the lowest polymorph of the same formula comes out at 0.00 eV/f.u. The value obtained for the density of states at the Fermi level is 4.11 states/eV/cell. As for the uncorrected energy: -7.1170 eV per atom. For the energy of formation, the calculation gives 30 kJ per mole of atoms.

***

Record 4
Compound: BiPRuS2
Source: Alexandria via LeMat-Bulk
Functional: PBE
Structure: optimized geometry

Structure (POSCAR):
```
BiPRuS2
1.0
5.1462 0.0000 0.0000
0.0000 5.1462 0.0000
0.0000 0.0000 5.2396
Bi P Ru S
1 1 1 2
direct
0.0000 0.0000 0.0000
0.0000 0.0000 0.5000
0.5000 0.5000 0.5000
0.0000 0.5000 0.0000
0.5000 0.0000 0.0000
```

Its space group is P4/mmm, No. 123. The uncorrected formation energy is 1.55 eV/atom. The value obtained for the total moment is 4.0 μB/f.u. The distance to the lowest polymorph of the same formula comes out at 6.19 eV/f.u. The value obtained for the density of states at the Fermi level is 4.85 states/eV/cell. As for the uncorrected energy: -3.8110 eV per atom.

***

Record 5
Compound: BiPRuS2
Source: Alexandria via LeMat-Bulk
Functional: PBE
Structure: optimized geometry

Structure (POSCAR):
```
BiPRuS2
1.0
4.8597 0.0000 0.0000
0.0000 4.8597 0.0000
0.0000 0.0000 4.3848
Bi P Ru S
1 1 1 2
direct
0.0000 0.0000 0.0000
0.5000 0.5000 0.0000
0.5000 0.5000 0.5000
0.0000 0.5000 0.5000
0.5000 0.0000 0.5000
```

Its space group is P4/mmm, No. 123. The uncorrected formation energy is 0.32 eV/atom. The value obtained for the total moment is 0.0 μB/f.u. The distance to the lowest polymorph of the same formula comes out at 0.00 eV/f.u. The value obtained for the density of states at the Fermi level is 5.04 states/eV/cell. As for the uncorrected energy: -5.0485 eV per atom.

***

Record 6
Compound: TlBiP2Ru
Source: Alexandria via LeMat-Bulk
Functional: PBE
Structure: optimized geometry

Structure (POSCAR):
```
TlBiP2Ru
1.0
5.2446 0.0000 0.0000
0.0000 5.2446 0.0000
0.0000 0.0000 5.7947
Tl Bi P Ru
1 1 2 1
direct
0.0000 0.0000 0.0000
0.0000 0.0000 0.5000
0.0000 0.5000 0.5000
0.5000 0.0000 0.5000
0.5000 0.5000 0.0000
```

Its space group is P4/mmm, No. 123. The value obtained for the total moment is 2.7 μB/f.u. The value obtained for the density of states at the Fermi level is 3.45 states/eV/cell. As for the uncorrected energy: -3.4400 eV per atom. For the energy of formation, the calculation gives 176 kJ per mole of atoms.

***

What did the fourth record say?
Compound: BiPRuS2
Source: Alexandria via LeMat-Bulk
Functional: PBE
Structure: optimized geometry

Structure (POSCAR):
```
BiPRuS2
1.0
5.1462 0.0000 0.0000
0.0000 5.1462 0.0000
0.0000 0.0000 5.2396
Bi P Ru S
1 1 1 2
direct
0.0000 0.0000 0.0000
0.0000 0.0000 0.5000
0.5000 0.5000 0.5000
0.0000 0.5000 0.0000
0.5000 0.0000 0.0000
```

Its space group is P4/mmm, No. 123. The uncorrected formation energy is 1.55 eV/atom. The value obtained for the total moment is 4.0 μB/f.u. The distance to the lowest polymorph of the same formula comes out at 6.19 eV/f.u. The value obtained for the density of states at the Fermi level is 4.85 states/eV/cell. As for the uncorrected energy: -3.8110 eV per atom.